! PBE Ta3AlI, optimized geometry; values from VASP
! Distance to the lowest polymorph of the same formula ... 0.0 meV per atom
! Total moment ... 0.001 μB/atom
! SG ... No. 221
! DFT total energy ... -32.62 eV/cell
! ΔE_f (raw) ... 1.646 eV/atom
&SYSTEM
  ibrav = 0, nat = 5, ntyp = 3
/
ATOMIC_SPECIES
I 126.90 I.upf
Al 26.98 Al.upf
Ta 180.95 Ta.upf
CELL_PARAMETERS angstrom
4.830 0.000 0.000
0.000 4.830 0.000
0.000 0.000 4.830
ATOMIC_POSITIONS crystal
I 0.500 0.500 0.500
Al 0.000 0.000 0.000
Ta 0.000 0.500 0.000
Ta 0.000 0.000 0.500
Ta 0.500 0.000 0.000

=====

! PBE Y2PuSc, optimized geometry; values from VASP
! Formation energy ... 0.133 eV per atom
! Distance to the lowest polymorph of the same formula ... 14.9 meV per atom
! Total moment ... 1.487 μB/atom
! SG ... No. 166
! DFT total energy ... -33.06 eV/cell
&SYSTEM
  ibrav = 0, nat = 4, ntyp = 3
/
ATOMIC_SPECIES
Y 88.91 Y.upf
Sc 44.96 Sc.upf
Pu 244.00 Pu.upf
CELL_PARAMETERS angstrom
3.462 0.000 0.000
1.731 2.998 0.000
1.731 0.999 11.239
ATOMIC_POSITIONS crystal
Y 0.248 0.248 0.256
Y 0.752 0.752 0.744
Sc 0.500 0.500 0.500
Pu 0.000 0.000 0.000